(1)
An optimized crystal structure of NaGdDyTl. Source: the Alexandria database, functional PBE.

* total energy: -5.66 eV per atom
* ΔE_f: -0.069 eV/atom

Cell: 5.423 5.423 5.423 Å, 60.00 60.00 60.00°
Fractional coordinates of all 4 atoms:
1 Dy 0.750 0.750 0.750
2 Na 0.000 0.000 0.000
3 Tl 0.500 0.500 0.500
4 Gd 0.250 0.250 0.250

---

(2)
An optimized crystal structure of AcPm2Nd3Sm6. Source: the Alexandria database, functional PBE.

* total energy: -4.67 eV per atom
* ΔE_f: 0.020 eV/atom

Cell: 6.373 6.373 12.161 Å, 95.02 95.02 119.99°
Fractional coordinates of all 12 atoms:
1 Sm 0.916 0.580 0.748
2 Sm 0.084 0.420 0.252
3 Sm 0.252 0.252 0.748
4 Nd 0.833 0.167 0.500
5 Nd 0.167 0.833 0.500
6 Sm 0.748 0.748 0.252
7 Sm 0.420 0.084 0.252
8 Ac 0.000 0.000 0.000
9 Nd 0.500 0.500 0.500
10 Pm 0.667 0.333 0.000
11 Sm 0.580 0.916 0.748
12 Pm 0.333 0.667 0.000

---

(3)
An optimized crystal structure of VGa4Rh5. Source: the Alexandria database, functional PBE.

* total energy: -6.41 eV per atom
* ΔE_f: -0.612 eV/atom

Cell: 2.921 2.921 16.349 Å, 90.00 90.00 90.00°
Fractional coordinates of all 10 atoms:
1 Ga 0.000 0.000 0.796
2 V 0.000 0.000 0.000
3 Rh 0.500 0.500 0.894
4 Rh 0.500 0.500 0.304
5 Rh 0.500 0.500 0.500
6 Rh 0.500 0.500 0.696
7 Ga 0.000 0.000 0.204
8 Ga 0.000 0.000 0.401
9 Rh 0.500 0.500 0.106
10 Ga 0.000 0.000 0.599

---

The lowest total energy belongs to which entry?
VGa4Rh5

---

Repeat the first record exactly.
An optimized crystal structure of NaGdDyTl. Source: the Alexandria database, functional PBE.

* total energy: -5.66 eV per atom
* ΔE_f: -0.069 eV/atom

Cell: 5.423 5.423 5.423 Å, 60.00 60.00 60.00°
Fractional coordinates of all 4 atoms:
1 Dy 0.750 0.750 0.750
2 Na 0.000 0.000 0.000
3 Tl 0.500 0.500 0.500
4 Gd 0.250 0.250 0.250

---

What is the total energy in the first record?
-5.66 eV per atom

---

Which of these has the highest ΔE_f?
AcPm2Nd3Sm6